Tl2AgHCl4 | GGA-PBE | optimized geometry

extended XYZ file:
```
8
Lattice="-0.450 2.015 2.913 -6.797 -3.758 1.550 0.412 -7.117 4.986" Properties=species:S:1:pos:R:3 pbc="T T T"
H -3.623 -0.871 2.231
Tl 0.412 -7.117 4.986
Tl -0.019 -2.551 3.950
Cl -5.188 -4.045 4.185
Cl -1.647 -4.814 5.264
Cl -4.337 -8.544 5.240
Cl -2.498 -0.315 4.209
Ag -3.193 -5.437 3.268
```

Computed properties:
Mass density = 5012 kg/m³
Size of the total moment = 0.0 Bohr magnetons per cell
Fermi-level density of states = 0.11 states/eV/cell
E_tot = -21.2 eV per cell
V = 218 Å³ per cell

***

CrNiP2 | GGA-PBE | optimized geometry

extended XYZ file:
```
4
Lattice="4.355 0.000 0.000 0.000 2.850 -0.002 0.000 0.003 3.853" Properties=species:S:1:pos:R:3 pbc="T T T"
P 2.178 1.069 1.004
P 0.000 2.496 3.797
Cr 0.000 1.070 1.900
Ni 2.178 2.496 2.925
```

Computed properties:
Mass density = 5996 kg/m³
Size of the total moment = 0.8 Bohr magnetons per cell
Fermi-level density of states = 2.84 states/eV/cell
E_tot = -27.3 eV per cell
V = 48 Å³ per cell

***

TaFe3Ru | GGA-PBE | optimized geometry

extended XYZ file:
```
5
Lattice="-1.891 0.095 3.977 3.872 -0.969 1.864 0.915 4.296 0.333" Properties=species:S:1:pos:R:3 pbc="T T T"
Fe 1.936 -0.485 0.932
Fe 0.458 2.148 0.166
Fe -0.945 0.047 1.989
Ta 1.448 1.711 3.087
Ru 0.000 0.000 0.000
```

Computed properties:
Mass density = 8735 kg/m³
Size of the total moment = 6.1 Bohr magnetons per cell
Fermi-level density of states = 6.30 states/eV/cell
ΔE to the lowest computed polymorph = 0.000 eV per atom
V = 85 Å³ per cell

***

Li2TbCdAu4 | GGA-PBE | optimized geometry

extended XYZ file:
```
8
Lattice="-2.211 -3.943 0.789 1.762 -3.960 -1.508 4.121 -3.549 7.155" Properties=species:S:1:pos:R:3 pbc="T T T"
Au 3.247 -6.028 5.661
Au 1.066 -8.228 1.904
Au 0.426 -5.424 0.775
Au 2.606 -3.225 4.532
Cd 1.836 -5.726 3.218
Li 2.603 -8.557 4.564
Li 1.070 -2.896 1.872
Tb 0.000 0.000 0.000
```

Computed properties:
Mass density = 11377 kg/m³
Size of the total moment = 0.0 Bohr magnetons per cell
Fermi-level density of states = 2.66 states/eV/cell
E_tot = -26.8 eV per cell
V = 157 Å³ per cell

***

HfScAg | GGA-PBE | optimized geometry

extended XYZ file:
```
6
Lattice="4.977 0.000 0.006 0.000 3.212 0.000 -2.511 0.001 7.857" Properties=species:S:1:pos:R:3 pbc="T T T"
Ag -0.017 2.023 0.737
Ag 2.472 2.024 3.634
Hf 2.461 0.417 6.117
Hf -0.028 2.024 6.114
Sc -0.017 0.418 3.371
Sc 2.472 0.417 1.001
```

Computed properties:
Mass density = 8756 kg/m³
Size of the total moment = 0.0 Bohr magnetons per cell
Fermi-level density of states = 5.97 states/eV/cell
ΔE to the lowest computed polymorph = 0.087 eV per atom
V = 126 Å³ per cell

***

HfTa4 | GGA-PBE | optimized geometry

extended XYZ file:
```
5
Lattice="4.838 0.000 0.000 0.000 4.838 0.000 0.000 0.000 4.838" Properties=species:S:1:pos:R:3 pbc="T T T"
Ta 2.419 0.000 2.419
Ta 0.000 0.000 0.000
Ta 2.419 2.419 0.000
Ta 0.000 2.419 2.419
Hf 2.419 2.419 2.419
```

Computed properties:
Mass density = 13232 kg/m³
Size of the total moment = 0.0 Bohr magnetons per cell
Fermi-level density of states = 6.01 states/eV/cell
E_tot = -47.3 eV per cell
V = 113 Å³ per cell

***

CdCo2P | GGA-PBE | optimized geometry

extended XYZ file:
```
8
Lattice="6.515 0.000 0.000 0.000 6.515 0.000 3.257 3.257 2.732" Properties=species:S:1:pos:R:3 pbc="T T T"
P 3.257 6.515 1.366
P 3.257 3.257 0.000
Cd 0.000 0.000 0.000
Cd 6.515 3.257 1.366
Co 4.395 1.629 0.683
Co 8.144 7.653 2.049
Co 4.886 5.377 2.049
Co 2.119 4.886 0.683
```

Computed properties:
Mass density = 7483 kg/m³
Size of the total moment = 0.0 Bohr magnetons per cell
Fermi-level density of states = 4.38 states/eV/cell
ΔE to the lowest computed polymorph = 0.229 eV per atom
V = 116 Å³ per cell

***

U2ZnRu | GGA-PBE | optimized geometry

extended XYZ file:
```
4
Lattice="2.943 0.000 0.000 1.472 2.549 0.000 1.472 0.850 10.770" Properties=species:S:1:pos:R:3 pbc="T T T"
Zn 0.000 0.000 0.000
U 4.415 2.549 3.063
U 1.472 0.850 7.707
Ru 2.943 1.699 5.385
```

Computed properties:
Mass density = 13203 kg/m³
Size of the total moment = 3.2 Bohr magnetons per cell
Fermi-level density of states = 8.98 states/eV/cell
E_tot = -31.8 eV per cell
V = 81 Å³ per cell

***

Mg3CdBr8 | GGA-PBE | optimized geometry

extended XYZ file:
```
12
Lattice="7.857 0.000 0.000 -3.928 5.571 -3.914 0.000 0.208 8.385" Properties=species:S:1:pos:R:3 pbc="T T T"
Cd 0.000 0.000 0.000
Br 5.829 0.285 6.457
Br 3.928 2.719 -0.076
Br 0.000 3.060 4.548
Br 0.000 2.799 -0.094
Br 3.928 2.980 4.565
Br 2.028 0.285 6.457
Br -1.900 5.494 -1.986
Br 1.900 5.494 -1.986
Mg 3.928 0.000 0.000
Mg 1.964 2.785 -1.957
Mg -1.964 2.785 -1.957
```

Computed properties:
Mass density = 3667 kg/m³
Size of the total moment = 0.0 Bohr magnetons per cell
Fermi-level density of states = 0.00 states/eV/cell
Formation energy from raw total energies = -1323.6 meV per atom
V = 373 Å³ per cell

***

La2EuSi | GGA-PBE | optimized geometry

extended XYZ file:
```
4
Lattice="4.753 0.000 0.000 0.000 4.901 0.000 0.000 0.000 4.901" Properties=species:S:1:pos:R:3 pbc="T T T"
La 0.000 2.451 0.000
La 0.000 0.000 2.451
Eu 2.377 0.000 0.000
Si 2.377 2.451 2.451
```

Computed properties:
Mass density = 6658 kg/m³
Size of the total moment = 7.6 Bohr magnetons per cell
Fermi-level density of states = 4.27 states/eV/cell
Formation energy from raw total energies = -239.7 meV per atom
ΔE to the lowest computed polymorph = 0.033 eV per atom
V = 114 Å³ per cell

***

La2FePt | GGA-PBE | optimized geometry

extended XYZ file:
```
4
Lattice="5.113 -0.026 -0.004 0.022 5.113 -0.004 0.026 0.026 3.631" Properties=species:S:1:pos:R:3 pbc="T T T"
Fe 0.024 2.570 1.814
La 2.568 2.544 -0.004
La 0.000 0.000 0.000
Pt 2.570 0.000 1.814
```

Computed properties:
Mass density = 9247 kg/m³
Size of the total moment = 1.4 Bohr magnetons per cell
Fermi-level density of states = 7.78 states/eV/cell
E_tot = -25.8 eV per cell
V = 95 Å³ per cell

***

RbSe3O | GGA-PBE | optimized geometry

extended XYZ file:
```
5
Lattice="6.843 0.000 0.000 0.000 6.843 0.000 0.000 0.000 6.843" Properties=species:S:1:pos:R:3 pbc="T T T"
Rb 0.000 0.000 0.000
Se 3.422 0.000 0.000
Se 0.000 0.000 3.422
Se 0.000 3.422 0.000
O 3.422 3.422 3.422
```

Computed properties:
Mass density = 1753 kg/m³
Size of the total moment = 7.0 Bohr magnetons per cell
Fermi-level density of states = 27.83 states/eV/cell
Formation energy from raw total energies = 1397.4 meV per atom
ΔE to the lowest computed polymorph = 1.306 eV per atom
V = 320 Å³ per cell

***

BaScCo | GGA-PBE | optimized geometry

extended XYZ file:
```
3
Lattice="4.848 0.000 0.000 2.424 4.198 0.000 2.424 1.399 3.958" Properties=species:S:1:pos:R:3 pbc="T T T"
Ba 4.848 2.799 1.979
Co 7.272 4.198 2.969
Sc 0.000 0.000 0.000
```

Computed properties:
Mass density = 4972 kg/m³
Size of the total moment = 0.0 Bohr magnetons per cell
Fermi-level density of states = 2.67 states/eV/cell
ΔE to the lowest computed polymorph = 0.495 eV per atom
V = 81 Å³ per cell

***

CrSb | GGA-PBE | optimized geometry

extended XYZ file:
```
12
Lattice="-1.868 1.158 2.199 0.439 -9.735 5.502 5.883 2.382 3.744" Properties=species:S:1:pos:R:3 pbc="T T T"
Sb 4.738 -4.653 6.477
Sb 1.213 -3.508 5.077
Sb 1.576 -0.977 1.854
Sb 4.594 -1.482 4.684
Sb 3.935 2.550 4.198
Sb 1.873 -7.540 5.563
Cr -0.379 -2.362 3.120
Cr 2.502 0.179 4.229
Cr 2.782 -6.039 7.743
Cr -0.220 -5.879 5.108
Cr 3.070 1.243 1.954
Cr 0.348 -4.816 2.833
```

Computed properties:
Mass density = 6753 kg/m³
Size of the total moment = 6.1 Bohr magnetons per cell
Fermi-level density of states = 8.15 states/eV/cell
Formation energy from raw total energies = 293.5 meV per atom
V = 256 Å³ per cell

***

CeSm4Dy8 | GGA-PBE | optimized geometry

extended XYZ file:
```
13
Lattice="7.582 -1.153 1.326 0.907 7.615 1.326 -1.514 -1.153 7.546" Properties=species:S:1:pos:R:3 pbc="T T T"
Dy 0.899 0.684 6.355
Dy 1.378 4.625 7.056
Dy 5.596 0.684 3.143
Dy 6.075 4.625 3.844
Dy 1.684 1.282 2.463
Dy 5.290 4.027 7.737
Dy 2.149 5.212 3.143
Dy 4.825 0.097 7.056
Sm 3.034 -1.153 4.436
Sm 0.000 0.000 0.000
Sm -0.304 3.231 4.436
Sm 4.244 3.231 1.326
Ce 3.487 2.655 5.100
```

Computed properties:
Mass density = 7192 kg/m³
Size of the total moment = 2.1 Bohr magnetons per cell
Fermi-level density of states = 22.70 states/eV/cell
E_tot = -54.9 eV per cell
V = 471 Å³ per cell

***

YbY2Se4 | GGA-PBE | optimized geometry

extended XYZ file:
```
28
Lattice="-2.942 2.751 0.414 -8.972 -9.909 2.083 2.471 0.605 13.524" Properties=species:S:1:pos:R:3 pbc="T T T"
Se -0.605 -1.248 13.880
Se -9.930 -7.274 7.462
Se -6.225 -6.480 8.717
Se -9.173 -8.872 3.669
Se -2.077 -1.296 3.751
Se 0.487 0.721 8.559
Se -3.356 -4.076 13.119
Se -4.014 -3.753 6.306
Se -0.271 2.319 12.352
Se -2.946 -0.318 10.867
Se -6.497 -6.234 5.154
Se -6.087 -2.477 2.902
Se -3.219 -0.073 7.304
Se -5.429 -2.799 9.714
Se -8.839 -5.305 2.141
Se -7.366 -5.256 12.270
Yb -3.169 0.823 1.712
Yb -6.832 -3.930 7.255
Yb -2.611 -2.623 8.765
Yb -6.275 -7.376 14.308
Y -0.086 -0.293 11.229
Y -8.778 -6.426 10.015
Y -9.358 -6.259 4.792
Y -4.625 -1.244 5.100
Y -4.818 -5.308 10.921
Y -3.452 -1.266 13.566
Y -0.666 -0.127 6.005
Y -5.991 -5.287 2.454
```

Computed properties:
Mass density = 5875 kg/m³
Size of the total moment = 1.0 Bohr magnetons per cell
Fermi-level density of states = 65.34 states/eV/cell
Formation energy from raw total energies = -1920.4 meV per atom
ΔE to the lowest computed polymorph = 0.002 eV per atom
V = 754 Å³ per cell

***

LaCeSm2Er | GGA-PBE | optimized geometry

extended XYZ file:
```
10
Lattice="-5.274 3.343 -0.381 -4.094 -6.832 -3.276 -1.464 -1.650 5.800" Properties=species:S:1:pos:R:3 pbc="T T T"
Ce -3.201 1.384 1.245
Ce -3.538 0.309 4.174
Sm -3.252 -1.491 0.260
Sm -4.827 -4.104 -0.871
Sm -6.005 -1.035 3.014
Sm -7.580 -3.648 1.883
La 0.000 0.000 0.000
La -0.732 -0.825 2.900
Er -4.077 -4.063 2.645
Er -6.755 -1.076 -0.501
```

Computed properties:
Mass density = 7424 kg/m³
Size of the total moment = 1.4 Bohr magnetons per cell
Fermi-level density of states = 20.24 states/eV/cell
E_tot = -47.0 eV per cell
V = 334 Å³ per cell

***

YZnTe2 | GGA-PBE | optimized geometry

extended XYZ file:
```
4
Lattice="4.258 0.000 0.000 0.000 4.258 0.000 0.000 0.000 6.309" Properties=species:S:1:pos:R:3 pbc="T T T"
Y 0.000 0.000 2.371
Zn 2.129 2.129 5.512
Te 0.000 0.000 5.525
Te 2.129 2.129 2.366
```

Computed properties:
Mass density = 5946 kg/m³
Size of the total moment = 0.0 Bohr magnetons per cell
Fermi-level density of states = 1.10 states/eV/cell
Formation energy from raw total energies = -795.1 meV per atom
ΔE to the lowest computed polymorph = 0.131 eV per atom
V = 114 Å³ per cell

***

Cu3P2O8 | GGA-PBE | optimized geometry

extended XYZ file:
```
13
Lattice="4.915 0.006 -0.012 -2.134 5.175 0.012 0.290 -1.786 5.982" Properties=species:S:1:pos:R:3 pbc="T T T"
Cu 0.000 0.000 0.000
Cu 3.363 -0.129 4.055
Cu -0.292 3.525 1.926
O 2.064 2.000 5.020
O 2.879 0.056 2.146
O -0.574 4.017 0.039
O 1.007 1.395 0.961
O 3.646 -0.622 5.942
O 0.138 0.798 3.940
O 2.933 2.597 2.042
O 0.193 3.339 3.836
P 0.559 2.057 4.694
P 2.513 1.338 1.288
```

Computed properties:
Mass density = 4149 kg/m³
Size of the total moment = 2.7 Bohr magnetons per cell
Fermi-level density of states = 3.33 states/eV/cell
Formation energy from raw total energies = -1426.8 meV per atom
ΔE to the lowest computed polymorph = 0.000 eV per atom
V = 152 Å³ per cell

***

La2W | GGA-PBE | optimized geometry

extended XYZ file:
```
6
Lattice="-3.684 -0.685 -5.274 0.640 -4.260 -4.826 -3.903 -4.916 -1.568" Properties=species:S:1:pos:R:3 pbc="T T T"
W -2.306 -3.274 -3.874
W -4.640 -6.587 -7.794
La -3.404 -3.585 -7.013
La -4.918 -5.139 -4.798
La -2.098 -6.068 -5.692
La 0.000 0.000 0.000
```

Computed properties:
Mass density = 9990 kg/m³
Size of the total moment = 0.0 Bohr magnetons per cell
Fermi-level density of states = 6.75 states/eV/cell
ΔE to the lowest computed polymorph = 0.506 eV per atom
V = 153 Å³ per cell

***

Tl5In2Bi2 | GGA-PBE | optimized geometry

extended XYZ file:
```
9
Lattice="5.492 0.168 0.000 -2.473 4.906 0.000 0.000 0.000 10.362" Properties=species:S:1:pos:R:3 pbc="T T T"
In 1.137 2.759 1.550
In 1.137 2.759 8.812
Tl 1.268 2.681 5.181
Tl -1.338 4.231 3.434
Tl -1.338 4.231 6.929
Tl 3.820 1.163 8.577
Tl 3.820 1.163 1.786
Bi 4.015 1.047 5.181
Bi -1.612 4.394 0.000
```

Computed properties:
Mass density = 9778 kg/m³
Size of the total moment = 0.0 Bohr magnetons per cell
Fermi-level density of states = 5.51 states/eV/cell
E_tot = -24.8 eV per cell
V = 284 Å³ per cell

***

Ce5Fe2Ni12 | GGA-PBE | optimized geometry

extended XYZ file:
```
19
Lattice="6.067 -0.031 0.480 -0.210 5.733 3.021 -0.035 -0.625 8.142" Properties=species:S:1:pos:R:3 pbc="T T T"
Ni 2.069 1.806 7.956
Ni 1.802 2.536 2.271
Ni 3.833 1.066 2.525
Ni 4.396 4.954 9.113
Ni 4.020 2.541 9.372
Ni 5.302 4.949 4.892
Ni 0.520 0.128 6.751
Ni 1.426 0.124 2.530
Ni 3.753 3.271 3.687
Ni 1.989 4.011 9.118
Ni 1.297 3.661 4.393
Ni 4.525 1.416 7.250
Fe -0.060 1.633 0.860
Fe -0.150 4.100 2.160
Ce 5.657 1.538 4.431
Ce 0.165 3.539 7.211
Ce 3.033 -0.016 0.240
Ce 3.368 4.069 6.428
Ce 2.454 1.008 5.215
```

Computed properties:
Mass density = 8544 kg/m³
Size of the total moment = 5.4 Bohr magnetons per cell
Fermi-level density of states = 25.71 states/eV/cell
E_tot = -120.1 eV per cell
V = 295 Å³ per cell

***

GaAs2RhCl | GGA-PBE | optimized geometry

extended XYZ file:
```
5
Lattice="4.725 0.000 0.000 0.000 5.454 0.000 0.000 0.000 4.725" Properties=species:S:1:pos:R:3 pbc="T T T"
As 0.000 0.000 2.363
As 2.363 0.000 0.000
Cl 0.000 2.727 0.000
Rh 0.000 0.000 0.000
Ga 2.363 2.727 2.363
```

Computed properties:
Mass density = 4881 kg/m³
Size of the total moment = 0.0 Bohr magnetons per cell
Fermi-level density of states = 2.87 states/eV/cell
Formation energy from raw total energies = 190.1 meV per atom
V = 122 Å³ per cell

***

Rb2PuHfTe4 | GGA-PBE | optimized geometry

extended XYZ file:
```
8
Lattice="4.389 0.000 0.000 0.000 7.701 0.165 0.000 -2.678 8.519" Properties=species:S:1:pos:R:3 pbc="T T T"
Te 2.195 3.901 7.011
Te 0.000 -0.246 6.864
Te 0.000 5.269 1.820
Te 2.195 1.122 1.673
Rb 2.195 -1.339 4.260
Rb 0.000 2.511 4.342
Pu 2.195 3.850 0.082
Hf 0.000 0.000 0.000
```

Computed properties:
Mass density = 6322 kg/m³
Size of the total moment = 5.8 Bohr magnetons per cell
Fermi-level density of states = 15.07 states/eV/cell
Formation energy from raw total energies = -988.4 meV per atom
V = 290 Å³ per cell